# DyHoNi2C4

DyHoNi2C4 after structural relaxation (PBE, OQMD).

Values from the calculation:
The calculation puts the total energy at -59.24 eV for the cell shown. For the calculated density, the calculation gives 8.86 g cm⁻³. Its symmetry is No. 99. The value obtained for the volume is 11.54 Å³ per atom.

The structure in extended XYZ format:
```
8
Lattice="-1.515 2.581 -1.876 -2.140 -2.363 -1.522 -4.959 1.014 5.399" Properties=species:S:1:pos:R:3 pbc="T T T"
C -0.780 0.159 0.849
C -1.707 0.349 1.859
C -5.076 0.773 1.837
C -6.002 0.963 2.846
Dy -3.315 0.678 3.609
Ho -3.476 0.446 0.096
Ni -0.760 1.291 -0.936
Ni -1.072 -1.181 -0.759
```

***

# DyHo2PbC

DyHo2PbC after structural relaxation (PBE, OQMD).

Values from the calculation:
The calculation puts the total energy at -29.43 eV for the cell shown. For the calculated density, the calculation gives 10.07 g cm⁻³. Its symmetry is No. 123. The value obtained for the volume is 23.48 Å³ per atom.

The structure in extended XYZ format:
```
5
Lattice="4.887 0.000 0.000 0.000 4.887 0.000 0.000 0.000 4.915" Properties=species:S:1:pos:R:3 pbc="T T T"
C 2.444 2.444 2.457
Dy 2.444 2.444 0.000
Ho 2.444 0.000 2.457
Ho 0.000 2.444 2.457
Pb 0.000 0.000 0.000
```

***

# Dy2HoPbC

Dy2HoPbC after structural relaxation (PBE, OQMD).

Values from the calculation:
The calculation puts the total energy at -29.44 eV for the cell shown. For the calculated density, the calculation gives 9.98 g cm⁻³. Its symmetry is No. 123. The value obtained for the volume is 23.61 Å³ per atom.

The structure in extended XYZ format:
```
5
Lattice="4.915 0.000 0.000 0.000 4.915 0.000 0.000 0.000 4.887" Properties=species:S:1:pos:R:3 pbc="T T T"
C 2.457 2.457 2.444
Dy 2.457 0.000 2.444
Dy 0.000 2.457 2.444
Ho 2.457 2.457 0.000
Pb 0.000 0.000 0.000
```

***

# Dy3HoC2S2

Dy3HoC2S2 after structural relaxation (PBE, OQMD).

Values from the calculation:
The calculation puts the total energy at -55.16 eV for the cell shown. For the calculated density, the calculation gives 8.05 g cm⁻³. Its symmetry is No. 156. The value obtained for the volume is 19.11 Å³ per atom.

The structure in extended XYZ format:
```
8
Lattice="-0.021 3.071 -2.064 -2.187 -0.244 2.975 9.383 4.974 7.305" Properties=species:S:1:pos:R:3 pbc="T T T"
C -1.459 0.864 1.299
C 3.226 3.347 4.947
Dy 3.711 1.967 2.889
Dy 4.929 4.972 4.031
Dy 7.667 6.423 6.162
Ho 0.977 0.518 0.761
S 1.596 3.206 1.436
S 7.038 3.730 5.479
```

***

# DyHoCSe

DyHoCSe after structural relaxation (PBE, OQMD).

Values from the calculation:
The calculation puts the total energy at -53.03 eV for the cell shown. For the calculated density, the calculation gives 8.61 g cm⁻³. Its symmetry is No. 164. The value obtained for the volume is 20.17 Å³ per atom.

The structure in extended XYZ format:
```
8
Lattice="-3.744 0.084 0.188 1.822 -3.259 0.348 0.697 1.788 13.112" Properties=species:S:1:pos:R:3 pbc="T T T"
C 0.000 0.000 0.000
C 0.348 0.894 6.556
Dy 0.037 -1.965 1.608
Dy -1.262 0.579 12.038
Ho 0.246 -1.429 5.540
Ho -1.471 0.042 8.107
Se -1.714 -0.583 3.521
Se 0.489 -0.804 10.126
```

***

# DyHoCSe

DyHoCSe after structural relaxation (PBE, OQMD).

Values from the calculation:
The calculation puts the total energy at -53.03 eV for the cell shown. For the calculated density, the calculation gives 8.61 g cm⁻³. Its symmetry is No. 186. The value obtained for the volume is 20.17 Å³ per atom.

The structure in extended XYZ format:
```
8
Lattice="-1.197 3.304 -1.307 -2.245 -2.086 2.161 4.805 6.007 10.790" Properties=species:S:1:pos:R:3 pbc="T T T"
C 0.001 0.001 0.002
C 2.403 3.005 5.396
Dy 0.026 2.114 5.320
Dy 2.778 6.914 9.559
Ho -1.414 0.312 2.085
Ho 1.337 5.113 6.324
Se -0.346 3.008 2.544
Se 1.707 4.215 9.095
```

***

Q: calculated density of number 3 (Dy2HoPbC)?
A: 9.98 g cm⁻³

***

Q: What is the formula in the fourth record?
A: Dy3HoC2S2

***

Please write out number 1 again, unchanged.
# DyHoNi2C4

DyHoNi2C4 after structural relaxation (PBE, OQMD).

Values from the calculation:
The calculation puts the total energy at -59.24 eV for the cell shown. For the calculated density, the calculation gives 8.86 g cm⁻³. Its symmetry is No. 99. The value obtained for the volume is 11.54 Å³ per atom.

The structure in extended XYZ format:
```
8
Lattice="-1.515 2.581 -1.876 -2.140 -2.363 -1.522 -4.959 1.014 5.399" Properties=species:S:1:pos:R:3 pbc="T T T"
C -0.780 0.159 0.849
C -1.707 0.349 1.859
C -5.076 0.773 1.837
C -6.002 0.963 2.846
Dy -3.315 0.678 3.609
Ho -3.476 0.446 0.096
Ni -0.760 1.291 -0.936
Ni -1.072 -1.181 -0.759
```

***

Q: Among the records above, which one has the lowest calculated density?
A: Dy3HoC2S2